No. 1
A geometry-optimized Rb2BaNb2 structure. Source: the Alexandria database, functional PBE.

Properties
- formation enthalpy at 0 K (meV/atom) = 1096

Unit cell a=5.333 b=5.333 c=16.488 alpha=90.00 beta=90.00 gamma=90.00
Space group I4/mmm (No. 139)
Unique sites:
Rb  0.000  0.500  0.250 x4
Ba  0.000  0.000  0.000 x2
Nb  0.000  0.000  0.436 x4

***

No. 2
A geometry-optimized RbBaNb2 structure. Source: the Alexandria database, functional PBE.

Properties
- formation enthalpy at 0 K (meV/atom) = 2051
- polymorph energy (0 for the lowest one) (eV per atom) = 0.139

Unit cell a=7.690 b=7.690 c=7.690 alpha=90.00 beta=90.00 gamma=90.00
Space group Fm-3m (No. 225)
Unique sites:
Rb  0.000  0.000  0.000 x4
Ba  0.000  0.000  0.500 x4
Nb  0.250  0.250  0.250 x8

***

No. 3
A geometry-optimized Rb3BaNb structure. Source: the Alexandria database, functional PBE.

Properties
- formation enthalpy at 0 K (meV/atom) = 1114
- polymorph energy (0 for the lowest one) (eV per atom) = 0.000

Unit cell a=7.109 b=7.109 c=7.109 alpha=90.00 beta=90.00 gamma=90.00
Space group Pm-3m (No. 221)
Unique sites:
Rb  0.000  0.000  0.500 x3
Ba  0.500  0.500  0.500 x1
Nb  0.000  0.000  0.000 x1

***

No. 4
A geometry-optimized Rb3BaNb structure. Source: the Alexandria database, functional PBE.

Properties
- formation enthalpy at 0 K (meV/atom) = 1665
- polymorph energy (0 for the lowest one) (eV per atom) = 0.551

Unit cell a=7.506 b=7.506 c=7.506 alpha=90.00 beta=90.00 gamma=90.00
Space group Pm-3m (No. 221)
Unique sites:
Rb  0.000  0.000  0.500 x3
Ba  0.000  0.000  0.000 x1
Nb  0.500  0.500  0.500 x1

***

No. 5
A geometry-optimized RbBa2Nb structure. Source: the Alexandria database, functional PBE.

Properties
- formation enthalpy at 0 K (meV/atom) = 1064
- polymorph energy (0 for the lowest one) (eV per atom) = 0.152

Unit cell a=10.276 b=10.276 c=8.218 alpha=90.00 beta=90.00 gamma=90.00
Space group I-42d (No. 122)
Unique sites:
Rb  0.000  0.000  0.000 x4
Ba  0.187  0.250  0.625 x8
Nb  0.000  0.000  0.500 x4

***

No. 6
A geometry-optimized RbBaNb2 structure. Source: the Alexandria database, functional PBE.

Properties
- formation enthalpy at 0 K (meV/atom) = 1912
- polymorph energy (0 for the lowest one) (eV per atom) = 0.000

Unit cell a=9.452 b=9.452 c=5.957 alpha=90.00 beta=90.00 gamma=90.00
Space group I-42d (No. 122)
Unique sites:
Rb  0.000  0.000  0.000 x4
Ba  0.000  0.000  0.500 x4
Nb  0.250  0.250  0.125 x8

***

Values of volume, in order: 46.90, 28.42, 71.87, 84.56, 54.24, 33.26, all in A^3/atom.